Below is a geometry-optimized HoCoO3 structure, with properties calculated at the PBE with a Hubbard U level.

Cell lengths 5.101, 5.101, 5.101 Å; angles 62.76, 62.76, 62.76 degrees
Fractional coordinates of all 10 atoms:
O: 0.837 0.250 0.663
O: 0.663 0.837 0.250
O: 0.750 0.337 0.163
O: 0.337 0.163 0.750
O: 0.163 0.750 0.337
O: 0.250 0.663 0.837
Ho: 0.750 0.750 0.750
Ho: 0.250 0.250 0.250
Co: 0.500 0.500 0.500
Co: 0.000 0.000 0.000

space group	No. 167
calculated density	9065	kg/m3
E	-71.2	eV/cell